# NdTm4S5, relaxed, DFT PBE-GGA
data_NdTm4S5
_symmetry_space_group_name_H-M 'I m m m'
_symmetry_Int_Tables_number 71
_symmetry_space_group_name_Hall '-I 2 2'
_cell_length_a 3.876
_cell_length_b 5.505
_cell_length_c 19.506
_cell_angle_alpha 90.00
_cell_angle_beta 90.00
_cell_angle_gamma 90.00
loop_
_atom_site_label
_atom_site_type_symbol
_atom_site_fract_x
_atom_site_fract_y
_atom_site_fract_z
Nd1 Nd 0.000 0.000 0.000
Tm1 Tm 0.000 0.000 0.203
Tm2 Tm 0.000 0.000 0.401
S1 S 0.000 0.500 0.000
S2 S 0.000 0.500 0.198
S3 S 0.000 0.500 0.393
# uncorrected formation energy = -44.57 kcal/mol of atoms

# CdPb2W, relaxed, DFT PBE-GGA
data_CdPb2W
_symmetry_space_group_name_H-M 'R 3 m'
_symmetry_Int_Tables_number 160
_symmetry_space_group_name_Hall 'R 3 -2"'
_cell_length_a 3.1599
_cell_length_b 3.1599
_cell_length_c 34.0350
_cell_angle_alpha 90.00
_cell_angle_beta 90.00
_cell_angle_gamma 120.00
loop_
_atom_site_label
_atom_site_type_symbol
_atom_site_fract_x
_atom_site_fract_y
_atom_site_fract_z
Cd1 Cd 0.0000 0.0000 0.0000
Pb1 Pb 0.0000 0.0000 0.5254
Pb2 Pb 0.0000 0.0000 0.7488
W1 W 0.0000 0.0000 0.2643
# formation enthalpy at 0 K = 0.6035 eV/atom

# Ba2BeAg, relaxed, DFT PBE-GGA
data_Ba2BeAg
_symmetry_space_group_name_H-M 'A m m 2'
_symmetry_Int_Tables_number 38
_symmetry_space_group_name_Hall 'A 2 -2'
_cell_length_a 4.597
_cell_length_b 4.996
_cell_length_c 12.092
_cell_angle_alpha 90.00
_cell_angle_beta 90.00
_cell_angle_gamma 90.00
loop_
_atom_site_label
_atom_site_type_symbol
_atom_site_fract_x
_atom_site_fract_y
_atom_site_fract_z
Ba1 Ba 0.000 0.000 0.000
Ba2 Ba 0.500 0.000 0.287
Be1 Be 0.500 0.000 0.602
Ag1 Ag 0.000 0.000 0.685
# formation enthalpy at 0 K = 0.1176 eV/atom

# Ca2GaNiC, relaxed, DFT PBE-GGA
data_Ca2GaNiC
_symmetry_space_group_name_H-M 'P 4/m m m'
_symmetry_Int_Tables_number 123
_symmetry_space_group_name_Hall '-P 4 2'
_cell_length_a 5.124
_cell_length_b 5.124
_cell_length_c 3.658
_cell_angle_alpha 90.00
_cell_angle_beta 90.00
_cell_angle_gamma 90.00
loop_
_atom_site_label
_atom_site_type_symbol
_atom_site_fract_x
_atom_site_fract_y
_atom_site_fract_z
Ca1 Ca 0.000 0.500 0.000
Ga1 Ga 0.000 0.000 0.500
Ni1 Ni 0.500 0.500 0.500
C1 C 0.500 0.500 0.000
# formation enthalpy at 0 K = -0.1281 eV/atom

Sequential E output: -6.26, -4.72, -2.49, -4.54 eV/atom
Sequential spin magnetization output: 0.0, 0.0, 0.0, 0.0 Bohr magnetons per cell